Record 1
## Li3HfNp2Se6 (PBE)

Data for an optimized crystal structure of Li3HfNp2Se6.

SG: C2/m, No. 12
Crystal system: monoclinic
ΔE_f (raw) (eV per atom): -1.219

Geometry as POSCAR:
```
Li3HfNp2Se6
1.0
6.9074 -0.0043 -0.0007
-3.4558 5.9808 -0.0007
-1.1520 -1.9947 6.5146
Se Li Np Hf
6 3 2 1
direct
0.5995 0.9145 0.7445
0.7677 0.7677 0.2510
0.2323 0.2323 0.7490
0.4005 0.0855 0.2555
0.9145 0.5995 0.7445
0.0855 0.4005 0.2555
0.1640 0.8360 0.5000
0.8360 0.1640 0.5000
0.5000 0.5000 0.5000
0.3325 0.6675 0.0000
0.6675 0.3325 0.0000
0.0000 0.0000 0.0000
```

Record 2
## Pm6BiI8 (PBE)

Data for an optimized crystal structure of Pm6BiI8.

SG: R-3, No. 148
Crystal system: trigonal
ΔE_f (raw) (eV per atom): -1.102

Geometry as POSCAR:
```
Pm6BiI8
1.0
0.5283 -4.4497 6.3113
-2.0773 -7.4489 -0.3315
10.1631 -6.8153 -0.9093
I Pm Bi
8 6 1
direct
0.5638 0.8928 0.3218
0.4362 0.1072 0.6782
0.3333 0.3333 0.0001
0.2216 0.5638 0.3218
0.1072 0.7784 0.6782
0.8928 0.2216 0.3218
0.6667 0.6667 0.9999
0.7784 0.4362 0.6782
0.0502 0.3883 0.8499
0.2884 0.9498 0.1501
0.7116 0.0502 0.8499
0.3883 0.7116 0.8499
0.9498 0.6117 0.1501
0.6117 0.2884 0.1501
0.0000 0.0000 0.0000
```

Record 3
## ZnSeBr (PBE)

Data for an optimized crystal structure of ZnSeBr.

SG: Fmm2, No. 42
Crystal system: orthorhombic
ΔE_f (raw) (eV per atom): -0.187

Geometry as POSCAR:
```
ZnSeBr
1.0
8.2949 0.1431 -0.0826
7.0009 3.5564 -0.0273
1.2940 -1.6587 2.9837
Se Br Zn
1 1 1
direct
0.2841 0.2841 0.7159
0.0497 0.0497 0.9503
0.6662 0.6662 0.3338
```

Record 4
## NbAlTl3 (PBE)

Data for an optimized crystal structure of NbAlTl3.

SG: Pm-3m, No. 221
Crystal system: cubic
Energy of formation (meV per atom): 778
Excess energy over the best structure of this formula in the dataset (eV/f.u.): 0.00

Geometry as POSCAR:
```
NbAlTl3
1.0
-2.8481 1.5118 -4.4677
-1.4727 -5.2432 -0.8354
-4.4808 0.7624 3.1144
Nb Tl Al
1 3 1
direct
0.0000 0.0000 0.0000
0.0000 0.0000 0.5000
0.5000 0.0000 0.0000
0.0000 0.5000 0.0000
0.5000 0.5000 0.5000
```

Sequential Fermi-level density of states output: 1.8433; 0.2977; 0.9624; 0.7153 states/eV/atom
Sequential uncorrected energy output: -77.107; -61.309; -6.991; -17.022 eV per cell